1.
The following is a DFT calculation (PBE-GGA) of a relaxed TcPRu2 crystal.

Output
Its space group is No. 216. The calculated formation energy is 0.135 eV/atom.

Unit cell a=4.260 b=4.260 c=4.260 alpha=60.00 beta=60.00 gamma=60.00
Element x y z (fractional)
Tc: 0.250 0.250 0.250
P: 0.500 0.500 0.500
Ru: 0.000 0.000 0.000
Ru: 0.750 0.750 0.750

=====

2.
The following is a DFT calculation (PBE-GGA) of a relaxed TcPRu2 crystal.

Output
Its space group is No. 139. The calculated formation energy is 0.038 eV/atom.

Unit cell a=4.642 b=4.642 c=4.642 alpha=132.07 beta=132.07 gamma=70.12
Element x y z (fractional)
Tc: 0.500 0.500 0.000
P: 0.000 0.000 0.000
Ru: 0.750 0.250 0.500
Ru: 0.250 0.750 0.500

=====

3.
The following is a DFT calculation (PBE-GGA) of a relaxed TcP2Ru3 crystal.

Output
Its space group is No. 26. The calculated formation energy is -0.459 eV/atom.

Unit cell a=3.901 b=5.954 c=6.931 alpha=90.00 beta=90.00 gamma=90.00
Element x y z (fractional)
Tc: 0.500 0.524 0.589
Tc: 0.500 0.024 0.411
P: 0.500 0.751 0.861
P: 0.500 0.251 0.139
P: 0.000 0.244 0.640
P: 0.000 0.744 0.360
Ru: 0.000 0.482 0.901
Ru: 0.000 0.982 0.099
Ru: 0.500 0.639 0.177
Ru: 0.500 0.139 0.823
Ru: 0.000 0.359 0.328
Ru: 0.000 0.859 0.672

=====

4.
The following is a DFT calculation (PBE-GGA) of a relaxed Tc2P2Ru crystal.

Output
Its space group is No. 127. The calculated formation energy is -0.210 eV/atom.

Unit cell a=6.814 b=6.814 c=2.869 alpha=90.00 beta=90.00 gamma=90.00
Element x y z (fractional)
Ru: 0.000 0.000 0.000
Ru: 0.500 0.500 0.000
Tc: 0.148 0.648 0.500
Tc: 0.648 0.852 0.500
Tc: 0.852 0.352 0.500
Tc: 0.352 0.148 0.500
P: 0.346 0.846 0.000
P: 0.846 0.654 0.000
P: 0.654 0.154 0.000
P: 0.154 0.346 0.000

=====

5.
The following is a DFT calculation (PBE-GGA) of a relaxed ThTcP2Ru crystal.

Output
Its space group is No. 119. The calculated formation energy is -0.980 eV/atom.

Unit cell a=4.152 b=4.152 c=5.723 alpha=111.27 beta=111.27 gamma=90.00
Element x y z (fractional)
Th: 0.000 0.000 0.000
Tc: 0.750 0.250 0.500
P: 0.633 0.633 0.266
P: 0.367 0.367 0.734
Ru: 0.250 0.750 0.500

=====

6.
The following is a DFT calculation (PBE-GGA) of a relaxed UTcP2Ru2 crystal.

Output
Its space group is No. 26. The calculated formation energy is -0.577 eV/atom.

Unit cell a=3.925 b=6.953 c=6.798 alpha=90.00 beta=90.00 gamma=90.00
Element x y z (fractional)
U: 0.000 0.994 0.393
U: 0.000 0.494 0.607
Tc: 0.500 0.145 0.690
Tc: 0.500 0.645 0.310
P: 0.000 0.191 0.878
P: 0.500 0.295 0.360
P: 0.000 0.691 0.122
P: 0.500 0.795 0.640
Ru: 0.500 0.059 0.099
Ru: 0.000 0.361 0.160
Ru: 0.500 0.559 0.901
Ru: 0.000 0.861 0.840

=====

7.
The following is a DFT calculation (PBE-GGA) of a relaxed UTcP2Ru5 crystal.

Output
Its space group is No. 123. The calculated formation energy is 0.243 eV/atom.

Unit cell a=3.849 b=3.849 c=10.775 alpha=90.00 beta=90.00 gamma=90.00
Element x y z (fractional)
U: 0.500 0.500 0.500
Tc: 0.000 0.000 0.000
P: 0.000 0.000 0.713
P: 0.000 0.000 0.287
Ru: 0.000 0.000 0.500
Ru: 0.000 0.500 0.840
Ru: 0.500 0.000 0.160
Ru: 0.000 0.500 0.160
Ru: 0.500 0.000 0.840

=====

8.
The following is a DFT calculation (PBE-GGA) of a relaxed UTcPRu crystal.

Output
Its space group is No. 47. The calculated formation energy is -0.040 eV/atom.

Unit cell a=3.792 b=4.448 c=4.515 alpha=90.00 beta=90.00 gamma=90.00
Element x y z (fractional)
U: 0.500 0.500 0.500
Tc: 0.000 0.000 0.500
P: 0.000 0.000 0.000
Ru: 0.000 0.500 0.000

=====

9.
The following is a DFT calculation (PBE-GGA) of a relaxed UTc2P2Ru crystal.

Output
Its space group is No. 26. The calculated formation energy is -0.563 eV/atom.

Unit cell a=3.917 b=6.808 c=6.950 alpha=90.00 beta=90.00 gamma=90.00
Element x y z (fractional)
U: 0.000 0.979 0.393
U: 0.000 0.479 0.607
Tc: 0.500 0.057 0.094
Tc: 0.000 0.363 0.180
Tc: 0.500 0.557 0.906
Tc: 0.000 0.863 0.820
P: 0.000 0.192 0.899
P: 0.500 0.288 0.359
P: 0.000 0.692 0.101
P: 0.500 0.788 0.641
Ru: 0.500 0.166 0.694
Ru: 0.500 0.666 0.306

=====

10.
The following is a DFT calculation (PBE-GGA) of a relaxed YTcP2Ru crystal.

Output
Its space group is No. 119. The calculated formation energy is -0.989 eV/atom.

Unit cell a=4.120 b=4.120 c=5.574 alpha=111.69 beta=111.69 gamma=90.00
Element x y z (fractional)
Y: 0.000 0.000 0.000
Tc: 0.750 0.250 0.500
P: 0.630 0.630 0.259
P: 0.370 0.370 0.741
Ru: 0.250 0.750 0.500

=====

11.
The following is a DFT calculation (PBE-GGA) of a relaxed Te2PRu crystal.

Output
The raw formation energy comes out at 0.381 eV/atom. Its space group is No. 139.

Unit cell a=4.796 b=4.796 c=4.796 alpha=110.86 beta=110.86 gamma=106.73
Element x y z (fractional)
Te: 0.000 0.500 0.500
Te: 0.500 0.000 0.500
P: 0.500 0.500 0.000
Ru: 0.000 0.000 0.000

=====

12.
The following is a DFT calculation (PBE-GGA) of a relaxed TeP2Ru crystal.

Output
The raw formation energy comes out at 0.365 eV/atom. Its space group is No. 71.

Unit cell a=5.846 b=5.846 c=5.846 alpha=150.68 beta=129.52 gamma=59.45
Element x y z (fractional)
P: 0.938 0.938 0.000
P: 0.562 0.562 0.000
Ru: 0.750 0.250 0.500
Te: 0.250 0.750 0.500